1.
{"formula": "Al3Co2Rh", "functional": "PBE-GGA", "state": "optimized geometry", "formation_enthalpy_0k_ev_per_atom": -0.759, "volume_a3_per_cell": 73.7, "lattice": [[2.914, 0.000, 0.000], [0.000, 2.914, 0.000], [0.000, 0.000, 8.676]], "species": ["Al", "Al", "Al", "Co", "Co", "Rh"], "frac_coords": [[0.000, 0.000, 0.000], [0.000, 0.000, 0.321], [0.000, 0.000, 0.679], [0.500, 0.500, 0.161], [0.500, 0.500, 0.839], [0.500, 0.500, 0.500]]}


2.
{"formula": "In2FeAu", "functional": "PBE-GGA", "state": "optimized geometry", "formation_enthalpy_0k_ev_per_atom": 0.218, "volume_a3_per_cell": 77.2, "lattice": [[1.584, 0.915, 8.882], [-1.584, 0.915, 8.882], [0.000, -1.829, 8.882]], "species": ["In", "In", "Fe", "Au"], "frac_coords": [[0.246, 0.246, 0.246], [0.754, 0.754, 0.754], [0.500, 0.500, 0.500], [0.000, 0.000, 0.000]]}


3.
{"formula": "PmNd2Sc", "functional": "PBE-GGA", "state": "optimized geometry", "formation_enthalpy_0k_ev_per_atom": 0.004, "volume_a3_per_cell": 128.5, "lattice": [[5.620, -2.553, 0.000], [5.620, 2.553, 0.000], [-2.219, 0.000, 4.478]], "species": ["Pm", "Nd", "Nd", "Sc"], "frac_coords": [[0.000, 0.000, 0.000], [0.251, 0.251, 0.750], [0.502, 0.502, 0.499], [0.750, 0.750, 0.248]]}


4.
{"formula": "BaPPdS2", "functional": "PBE-GGA", "state": "optimized geometry", "volume_a3_per_cell": 117.8, "e_form_raw_kj_per_mol_atoms": -53.5, "lattice": [[5.139, 0.000, 0.000], [0.000, 5.139, 0.000], [0.000, 0.000, 4.459]], "species": ["Ba", "P", "Pd", "S", "S"], "frac_coords": [[0.000, 0.000, 0.000], [0.500, 0.500, 0.000], [0.500, 0.500, 0.500], [0.000, 0.500, 0.500], [0.500, 0.000, 0.500]]}


5.
{"formula": "Na2RhPbCl8", "functional": "PBE-GGA", "state": "optimized geometry", "volume_a3_per_cell": 323.4, "e_form_raw_kj_per_mol_atoms": -100.5, "lattice": [[6.124, 0.000, 0.000], [0.000, 8.152, 0.000], [-0.391, 0.000, 6.479]], "species": ["Na", "Na", "Rh", "Pb", "Cl", "Cl", "Cl", "Cl", "Cl", "Cl", "Cl", "Cl"], "frac_coords": [[0.000, 0.232, 0.000], [0.000, 0.768, 0.000], [0.500, 0.000, 0.500], [0.500, 0.500, 0.500], [0.209, 0.500, 0.167], [0.274, 0.000, 0.192], [0.282, 0.208, 0.637], [0.282, 0.792, 0.637], [0.718, 0.208, 0.363], [0.718, 0.792, 0.363], [0.726, 0.000, 0.808], [0.791, 0.500, 0.833]]}


6.
{"formula": "LaTiSeBr2", "functional": "PBE-GGA", "state": "optimized geometry", "volume_a3_per_cell": 130.9, "e_form_raw_kj_per_mol_atoms": -93.9, "lattice": [[5.057, 0.000, 0.000], [0.000, 5.057, 0.000], [0.000, 0.000, 5.119]], "species": ["La", "Ti", "Se", "Br", "Br"], "frac_coords": [[0.000, 0.000, 0.000], [0.500, 0.500, 0.500], [0.500, 0.500, 0.000], [0.000, 0.500, 0.500], [0.500, 0.000, 0.500]]}


7.
{"formula": "CdIr", "functional": "PBE-GGA", "state": "optimized geometry", "formation_enthalpy_0k_ev_per_atom": 0.235, "volume_a3_per_cell": 67.5, "lattice": [[2.918, 0.000, 0.000], [0.000, 4.675, 0.000], [0.000, 0.000, 4.949]], "species": ["Cd", "Cd", "Ir", "Ir"], "frac_coords": [[0.250, 0.250, 0.077], [0.750, 0.750, 0.923], [0.250, 0.750, 0.439], [0.750, 0.250, 0.561]]}


8.
{"formula": "Zr2MoSe2Cl4", "functional": "PBE-GGA", "state": "optimized geometry", "volume_a3_per_cell": 222.1, "e_form_raw_kj_per_mol_atoms": -127.5, "lattice": [[3.383, 0.000, 0.000], [-1.692, 2.930, 0.000], [0.000, 0.000, 22.402]], "species": ["Zr", "Zr", "Mo", "Se", "Se", "Cl", "Cl", "Cl", "Cl"], "frac_coords": [[0.000, 0.000, 0.000], [0.333, 0.667, 0.327], [0.333, 0.667, 0.673], [0.000, 0.000, 0.599], [0.000, 0.000, 0.746], [0.000, 0.000, 0.249], [0.000, 0.000, 0.404], [0.333, 0.667, 0.078], [0.333, 0.667, 0.923]]}